A relaxed structure of La2TlNi. Source: Alexandria via LeMat-Bulk, functional GGA-PBE.

Computed properties:
E   -4.692 eV/atom
Symmetry   Immm, No. 71
Magnetization   0.0 μB per cell
ΔE_f   -0.8 eV/f.u.
Density of states at the Fermi level   0.86 states/eV/atom

Cell lengths 5.5736, 5.5736, 5.5736 Å; angles 130.96, 118.36, 82.50 degrees
Sites, in units of the cell vectors:
La 0.2162 0.2162 0.0000
La 0.7838 0.7838 0.0000
Tl 0.5000 0.0000 0.5000
Ni 0.0000 0.5000 0.5000

A relaxed structure of La4Tl2Ni. Source: Alexandria via LeMat-Bulk, functional GGA-PBE.

Computed properties:
E   -4.575 eV/atom
Symmetry   I4/mmm, No. 139
Magnetization   0.0 μB per cell
ΔE_f   -1.8 eV/f.u.
Density of states at the Fermi level   0.90 states/eV/atom

Cell lengths 9.1568, 9.1568, 9.1568 Å; angles 146.47, 146.47, 48.15 degrees
Sites, in units of the cell vectors:
La 0.0000 0.5000 0.5000
La 0.1799 0.1799 0.0000
La 0.5000 0.0000 0.5000
La 0.8201 0.8201 0.0000
Tl 0.3691 0.3691 0.0000
Tl 0.6309 0.6309 0.0000
Ni 0.0000 0.0000 0.0000

A relaxed structure of La2TlNi. Source: Alexandria via LeMat-Bulk, functional GGA-PBE.

Computed properties:
E   -4.825 eV/atom
Symmetry   P2/m, No. 10
Magnetization   0.0 μB per cell
ΔE_f   -1.3 eV/f.u.
Density of states at the Fermi level   0.76 states/eV/atom

Cell lengths 3.6004, 3.6871, 8.0846 Å; angles 90.00, 90.25, 90.00 degrees
Sites, in units of the cell vectors:
La 0.0017 0.0000 0.2937
La 0.9983 0.0000 0.7063
Tl 0.5000 0.5000 0.0000
Ni 0.5000 0.5000 0.5000

A relaxed structure of LaTlNi2. Source: Alexandria via LeMat-Bulk, functional GGA-PBE.

Computed properties:
E   -4.676 eV/atom
Symmetry   P4mm, No. 99
Magnetization   0.0 μB per cell
ΔE_f   0.2 eV/f.u.
Density of states at the Fermi level   0.70 states/eV/atom

Cell lengths 3.8839, 3.8839, 5.4538 Å; angles 90.00, 90.00, 90.00 degrees
Sites, in units of the cell vectors:
La 0.0000 0.0000 0.0000
Tl 0.5000 0.5000 0.6125
Ni 0.0000 0.0000 0.4795
Ni 0.5000 0.5000 0.1373